# Ce3PrNi8

Ce3PrNi8 after structural relaxation (PBE, the Alexandria database).

Results
**Symmetry**: R3m, No. 160
**Energy above the most stable polymorph in this dataset**: 0.0000 eV/atom
**Formation enthalpy at 0 K**: -343 meV per atom

Unit cell a=8.8578 b=8.8578 c=8.8578 alpha=33.56 beta=33.56 gamma=33.56
With the nearest neighbours (Å) after each atom.
Element x y z (fractional)
1 Ce 0.0000 0.0000 0.0000  12 Ni 2.93-3.03, 4 Ce 3.07-3.08
2 Ce 0.1224 0.1224 0.1224  12 Ni 2.94-3.13, 1 Ce 3.07, 3 Pr 3.20
3 Ce 0.6312 0.6312 0.6312  12 Ni 2.91-3.04, 3 Ce 3.08, 1 Pr 3.17
4 Pr 0.5046 0.5046 0.5046  12 Ni 2.98-3.05, 4 Ce 3.17-3.20
5 Ni 0.0648 0.5648 0.5648  6 Ni 2.55-2.56
6 Ni 0.0668 0.0668 0.5640  6 Ni 2.54-2.58
7 Ni 0.0668 0.5640 0.0668  6 Ni 2.54-2.58
8 Ni 0.3153 0.3153 0.3153  6 Ni 2.54-2.55
9 Ni 0.5640 0.0668 0.0668  6 Ni 2.54-2.58
10 Ni 0.5648 0.0648 0.5648  6 Ni 2.55-2.56
11 Ni 0.5648 0.5648 0.0648  6 Ni 2.55-2.56
12 Ni 0.8150 0.8150 0.8150  6 Ni 2.56-2.58

# Ce3PrNi8

Ce3PrNi8 after structural relaxation (PBE, the Alexandria database).

Results
**Symmetry**: P3m1, No. 156
**Energy above the most stable polymorph in this dataset**: 0.0102 eV/atom
**Formation enthalpy at 0 K**: -333 meV per atom

Unit cell a=5.0753 b=5.0753 c=8.4906 alpha=90.00 beta=90.00 gamma=120.00
With the nearest neighbours (Å) after each atom.
Element x y z (fractional)
1 Ce 0.0000 0.0000 0.0000  12 Ni 2.94-3.04, 4 Ce 3.07-3.25
2 Ce 0.0000 0.0000 0.3828  12 Ni 2.98-3.10, 3 Pr 3.13, 1 Ce 3.25
3 Ce 0.3333 0.6667 0.8934  12 Ni 2.97-3.01, 3 Ce 3.07, 1 Pr 3.25
4 Pr 0.3333 0.6667 0.5108  12 Ni 2.98-3.06, 4 Ce 3.13-3.25
5 Ni 0.3411 0.1705 0.7019  6 Ni 2.48-2.60
6 Ni 0.5041 0.0082 0.1968  6 Ni 2.48-2.60
7 Ni 0.5041 0.4959 0.1968  6 Ni 2.48-2.60
8 Ni 0.6667 0.3333 0.4470  6 Ni 2.56-2.59
9 Ni 0.6667 0.3333 0.9509  6 Ni 2.53-2.55
10 Ni 0.8295 0.1705 0.7019  6 Ni 2.48-2.60
11 Ni 0.8295 0.6589 0.7019  6 Ni 2.48-2.60
12 Ni 0.9918 0.4959 0.1968  6 Ni 2.48-2.60

# CePrNiRu

CePrNiRu after structural relaxation (PBE, the Alexandria database).

Results
**Symmetry**: F-43m, No. 216
**Formation enthalpy at 0 K**: -194 meV per atom

Unit cell a=4.9318 b=4.9318 c=4.9318 alpha=60.00 beta=60.00 gamma=60.00
With the nearest neighbours (Å) after each atom.
Element x y z (fractional)
1 Ce 0.0000 0.0000 0.0000  4 Ru 3.02, 4 Ni 3.02
2 Pr 0.5000 0.5000 0.5000  4 Ru 3.02, 4 Ni 3.02
3 Ni 0.2500 0.2500 0.2500  4 Ce 3.02, 4 Pr 3.02
4 Ru 0.7500 0.7500 0.7500  4 Ce 3.02, 4 Pr 3.02

# CePr2NiS5

CePr2NiS5 after structural relaxation (PBE, the Alexandria database).

Results
**Symmetry**: Cmc2_1, No. 36
**Formation energy (no corrections)**: -1.73 eV/atom

Unit cell a=8.5692 b=8.5692 c=12.0849 alpha=90.00 beta=90.00 gamma=153.75
With the nearest neighbours (Å) after each atom.
Element x y z (fractional)
1 Ce 0.1751 0.8249 0.5000  6 S 2.68-2.82
2 Ce 0.8249 0.1751 0.0000  6 S 2.68-2.82
3 Pr 0.1146 0.8854 0.8226  7 S 2.89-3.05
4 Pr 0.1155 0.8845 0.1677  8 S 2.89-3.15
5 Pr 0.8845 0.1155 0.6677  8 S 2.89-3.15
6 Pr 0.8854 0.1146 0.3226  7 S 2.89-3.05
7 Ni 0.4481 0.5519 0.8933  4 S 2.25-2.29
8 Ni 0.5519 0.4481 0.3933  4 S 2.25-2.29
9 S 0.0154 0.9846 0.4803  2 Ni 2.29
10 S 0.3014 0.6986 0.1662  2 Ce 2.82, 3 Pr 3.05-3.10
11 S 0.3189 0.6811 0.8345  1 Ni 2.27
12 S 0.3422 0.6578 0.4936  1 Ce 2.79, 4 Pr 2.93-2.95
13 S 0.4946 0.5054 0.2244  1 Ni 2.25
14 S 0.5054 0.4946 0.7244  1 Ni 2.25
15 S 0.6578 0.3422 0.9936  1 Ce 2.79, 4 Pr 2.93-2.95
16 S 0.6811 0.3189 0.3345  1 Ni 2.27
17 S 0.6986 0.3014 0.6662  2 Ce 2.82, 3 Pr 3.05-3.10
18 S 0.9846 0.0154 0.9803  2 Ni 2.29

# CePrNiSe4

CePrNiSe4 after structural relaxation (PBE, the Alexandria database).

Results
**Symmetry**: P2_1/m, No. 11
**Formation energy (no corrections)**: -1.39 eV/atom

Unit cell a=6.9962 b=5.9007 c=8.3157 alpha=90.00 beta=106.76 gamma=90.00
With the nearest neighbours (Å) after each atom.
Element x y z (fractional)
1 Ce 0.2351 0.2500 0.4384  8 Se 2.92-3.12, 1 Ni 3.25
2 Ce 0.7649 0.7500 0.5616  8 Se 2.92-3.12, 1 Ni 3.25
3 Pr 0.2352 0.2500 0.9304  8 Se 2.97-3.14
4 Pr 0.7648 0.7500 0.0696  8 Se 2.97-3.14
5 Ni 0.2496 0.7500 0.6815  4 Se 2.32-2.37
6 Ni 0.7504 0.2500 0.3185  4 Se 2.32-2.37
7 Se 0.0730 0.7500 0.8850  1 Ni 2.37
8 Se 0.0826 0.7500 0.3965  1 Ni 2.32
9 Se 0.4865 0.5063 0.2492  1 Ni 2.33
10 Se 0.4865 0.9937 0.2492  1 Ni 2.33
11 Se 0.5135 0.0063 0.7508  1 Ni 2.33
12 Se 0.5135 0.4937 0.7508  1 Ni 2.33
13 Se 0.9174 0.2500 0.6035  1 Ni 2.32
14 Se 0.9270 0.2500 0.1150  1 Ni 2.37

# Ce2PrSi2Ni2

Ce2PrSi2Ni2 after structural relaxation (PBE, the Alexandria database).

Results
**Symmetry**: R-3m, No. 166
**Formation energy (no corrections)**: -0.64 eV/atom

Unit cell a=9.4907 b=9.4907 c=9.4907 alpha=25.28 beta=25.28 gamma=25.28
With the nearest neighbours (Å) after each atom.
Element x y z (fractional)
1 Ce 0.1377 0.1377 0.1377  3 Ce 2.88, 3 Ni 2.92, 3 Si 2.97
2 Ce 0.8623 0.8623 0.8623  3 Ce 2.88, 3 Ni 2.92, 3 Si 2.97
3 Pr 0.0000 0.0000 0.0000  6 Si 3.15, 6 Ni 3.21
4 Si 0.2590 0.2590 0.2590  3 Ni 2.40
5 Si 0.7410 0.7410 0.7410  3 Ni 2.40
6 Ni 0.4108 0.4108 0.4108  3 Si 2.40
7 Ni 0.5892 0.5892 0.5892  3 Si 2.40

# CeNi3Pt2

CeNi3Pt2 after structural relaxation (PBE, the Alexandria database).

Results
**Symmetry**: Cmcm, No. 63
**Formation enthalpy at 0 K**: -225 meV per atom

Unit cell a=6.2536 b=6.2536 c=5.3800 alpha=90.00 beta=90.00 gamma=86.56
With the nearest neighbours (Å) after each atom.
Element x y z (fractional)
1 Ce 0.2180 0.7820 0.7500  4 Ni 2.61-2.78
2 Ce 0.7820 0.2180 0.2500  4 Ni 2.61-2.78
3 Ni 0.0745 0.1821 0.7500  2 Ni 2.34-2.40, 2 Pt 2.47, 1 Ce 2.61
4 Ni 0.1821 0.0745 0.2500  2 Ni 2.34-2.40, 2 Pt 2.47, 1 Ce 2.61
5 Ni 0.2983 0.7017 0.2500  2 Ni 2.40, 4 Pt 2.58
6 Ni 0.7017 0.2983 0.7500  2 Ni 2.40, 4 Pt 2.58
7 Ni 0.8179 0.9255 0.7500  2 Ni 2.34-2.40, 2 Pt 2.47, 1 Ce 2.61
8 Ni 0.9255 0.8179 0.2500  2 Ni 2.34-2.40, 2 Pt 2.47, 1 Ce 2.61
9 Pt 0.3501 0.3501 0.0000  4 Ni 2.47-2.58, 3 Pt 2.69-2.73
10 Pt 0.3501 0.3501 0.5000  4 Ni 2.47-2.58, 3 Pt 2.69-2.73
11 Pt 0.6499 0.6499 0.0000  4 Ni 2.47-2.58, 3 Pt 2.69-2.73
12 Pt 0.6499 0.6499 0.5000  4 Ni 2.47-2.58, 3 Pt 2.69-2.73

# CeNi2Pt

CeNi2Pt after structural relaxation (PBE, the Alexandria database).

Results
**Symmetry**: Pmma, No. 51
**Formation enthalpy at 0 K**: -344 meV per atom

Unit cell a=5.5103 b=6.1017 c=8.6596 alpha=90.00 beta=90.00 gamma=90.00
With the nearest neighbours (Å) after each atom.
Element x y z (fractional)
1 Ce 0.2500 0.0000 0.1614  4 Pt 2.84-3.12
2 Ce 0.2500 0.5000 0.7409  4 Ni 2.50-2.63, 2 Pt 2.76
3 Ce 0.7500 0.0000 0.8386  4 Pt 2.84-3.12
4 Ce 0.7500 0.5000 0.2591  4 Ni 2.50-2.63, 2 Pt 2.76
5 Ni 0.0000 0.0000 0.5000  4 Ni 2.32
6 Ni 0.0000 0.5000 0.0000  2 Pt 2.45, 2 Ce 2.63
7 Ni 0.2500 0.3052 0.4863  3 Ni 2.32-2.38, 1 Pt 2.48, 1 Ce 2.50
8 Ni 0.2500 0.6948 0.4863  3 Ni 2.32-2.38, 1 Pt 2.48, 1 Ce 2.50
9 Ni 0.5000 0.0000 0.5000  4 Ni 2.32
10 Ni 0.5000 0.5000 0.0000  2 Pt 2.45, 2 Ce 2.63
11 Ni 0.7500 0.3052 0.5137  3 Ni 2.32-2.38, 1 Pt 2.48, 1 Ce 2.50
12 Ni 0.7500 0.6948 0.5137  3 Ni 2.32-2.38, 1 Pt 2.48, 1 Ce 2.50
13 Pt 0.2500 0.0000 0.7594  2 Ni 2.64, 2 Ce 2.84
14 Pt 0.2500 0.5000 0.2343  4 Ni 2.45-2.48
15 Pt 0.7500 0.0000 0.2406  2 Ni 2.64, 2 Ce 2.84
16 Pt 0.7500 0.5000 0.7657  4 Ni 2.45-2.48